Entry from Alexandria via LeMat-Bulk: a relaxed Pr6Al2AsI3 crystal (PBE-GGA).

E: -4.620 eV/atom
Calculated volume: 32.734 Å³/atom
Total magnetization: 0.0000 μB/atom
Fermi-level density of states: 0.416 states/eV per atom

abc: 7.661 7.661 8.138
angles: 99.00 99.00 120.02
Element x y z (fractional)
Pr1 0.070 0.398 0.209
Pr2 0.259 0.259 0.791
Pr3 0.398 0.070 0.209
Pr4 0.602 0.930 0.791
Pr5 0.741 0.741 0.209
Pr6 0.930 0.602 0.791
Al1 0.333 0.667 0.000
Al2 0.667 0.333 0.000
As1 0.000 0.000 0.000
I1 0.168 0.832 0.500
I2 0.500 0.500 0.500
I3 0.832 0.168 0.500